MgV4Cu3O14, relaxed, DFT PBE with a Hubbard U; magnetic moment = 3.0 μB per cell; symmetry = P1, No. 1; VASP energy = -6.719 eV/atom
1.0
5.635 0.000 0.000
-0.178 5.693 0.000
-2.362 -2.529 9.666
Mg V Cu O
1 4 3 14
Cartesian
0.000 0.000 0.000
-0.554 3.457 2.541
-0.978 2.421 6.669
2.766 1.106 1.802
1.427 -0.889 7.371
-1.229 0.430 9.314
0.839 0.855 4.495
3.434 -0.641 4.729
-0.664 -0.904 3.597
-1.760 1.970 8.203
0.273 3.986 1.072
-0.736 1.090 5.592
0.367 2.266 3.315
1.378 1.306 0.739
0.191 -0.009 8.118
0.636 3.128 7.056
2.378 0.344 3.360
1.881 -0.132 5.810
3.481 2.721 2.097
3.898 0.153 1.015
2.752 -1.001 8.435
3.716 3.613 5.912

=====

MgV2CuO6, relaxed, DFT PBE with a Hubbard U; magnetic moment = 2.0 μB per cell; symmetry = C2/c, No. 15; VASP energy = -6.798 eV/atom
1.0
5.491 -4.720 0.000
5.491 4.720 0.000
-2.577 0.000 4.967
Mg V Cu O
2 4 2 12
Cartesian
3.559 3.807 3.725
4.847 -3.807 1.242
1.149 0.888 4.158
2.437 -0.888 1.674
5.969 0.888 3.293
7.257 -0.888 0.809
4.847 2.509 1.242
3.559 -2.509 3.725
-0.431 0.764 3.317
2.071 2.397 4.208
0.857 -0.764 0.833
3.434 0.420 0.930
5.046 2.397 3.242
2.146 -0.420 3.414
6.260 0.420 1.553
3.360 -2.397 1.725
4.972 -0.420 4.037
7.549 0.764 4.134
6.335 -2.397 0.759
8.837 -0.764 1.650

=====

MgV2Cu2O8, relaxed, DFT PBE with a Hubbard U; magnetic moment = 8.1 μB per cell; symmetry = P2_1/c, No. 14; VASP energy = -6.545 eV/atom
1.0
6.512 0.000 0.000
0.000 8.341 0.000
-0.063 0.000 11.879
Mg V Cu O
4 8 8 32
Cartesian
0.727 1.357 0.585
0.696 2.813 6.524
5.754 5.528 5.355
5.723 6.984 11.294
0.647 0.326 4.083
0.615 3.844 10.022
2.521 4.890 4.361
2.489 7.621 10.300
3.960 0.720 1.579
3.929 3.451 7.518
5.834 4.497 1.857
5.803 8.015 7.796
1.496 5.719 7.449
1.527 6.792 1.510
2.413 0.491 7.494
2.444 3.680 1.555
4.005 4.661 10.324
4.036 7.850 4.385
4.923 1.549 10.369
4.954 2.622 4.430
0.215 1.938 4.699
0.184 2.232 10.639
0.510 0.887 7.318
0.541 3.283 1.379
0.765 0.327 2.370
0.733 3.843 8.310
1.209 4.801 5.596
1.177 7.710 11.536
2.017 5.262 2.685
1.985 7.249 8.624
2.150 4.283 10.672
2.181 8.229 4.733
2.726 1.817 1.024
2.695 2.354 6.963
3.156 0.838 10.226
3.188 3.332 4.286
3.262 5.008 7.593
3.293 7.503 1.653
3.754 5.987 4.916
3.723 6.524 10.855
4.268 0.112 7.146
4.300 4.058 1.207
4.464 1.091 3.255
4.433 3.079 9.194
5.272 0.631 0.344
5.241 3.540 6.283
5.716 4.498 3.569
5.685 8.014 9.509
5.908 5.058 10.500
5.939 7.453 4.561
6.266 6.109 1.240
6.234 6.403 7.180

=====

MgV4Cu3O12, relaxed, DFT PBE with a Hubbard U; magnetic moment = 1.0 μB per cell; symmetry = R-3, No. 148; VASP energy = -6.717 eV/atom
1.0
5.218 3.013 2.114
-5.218 3.013 2.114
0.000 -6.025 2.114
Mg V Cu O
1 4 3 12
Cartesian
0.000 0.000 0.000
-5.218 0.000 3.171
-2.609 1.506 1.057
2.609 1.506 1.057
0.000 0.000 3.171
-2.609 -1.506 2.114
-2.609 1.506 4.228
0.000 3.013 2.114
-3.624 1.055 2.591
-0.634 -1.416 2.033
-2.726 -2.610 3.750
0.898 -3.666 2.591
-0.909 1.257 2.033
1.543 0.159 2.033
-1.543 -0.159 4.309
0.909 -1.257 4.309
-0.898 3.666 3.750
2.726 2.610 2.591
0.634 1.416 4.309
3.624 -1.055 3.750

=====

Mg14VCuO16, relaxed, DFT PBE with a Hubbard U; magnetic moment = 2.7 μB per cell; symmetry = Pmmm, No. 47; VASP energy = -6.045 eV/atom
1.0
4.234 0.000 0.000
0.000 8.547 0.000
0.000 0.000 8.609
Mg V Cu O
14 1 1 16
Cartesian
0.000 0.000 0.000
0.000 0.000 4.304
0.000 2.139 2.118
0.000 2.139 6.491
0.000 6.408 2.118
0.000 6.408 6.491
2.117 0.000 2.138
2.117 0.000 6.470
2.117 2.111 4.304
2.117 2.151 0.000
2.117 4.274 2.086
2.117 4.274 6.523
2.117 6.396 0.000
2.117 6.436 4.304
0.000 4.274 4.304
0.000 4.274 0.000
0.000 0.000 2.171
0.000 0.000 6.437
0.000 2.058 0.000
0.000 2.126 4.304
0.000 4.274 2.278
0.000 4.274 6.330
0.000 6.421 4.304
0.000 6.489 0.000
2.117 0.000 0.000
2.117 0.000 4.304
2.117 2.150 2.155
2.117 2.150 6.453
2.117 4.274 0.000
2.117 4.274 4.304
2.117 6.397 2.155
2.117 6.397 6.453

=====

Mg30VCuO32, relaxed, DFT PBE with a Hubbard U; magnetic moment = 2.7 μB per cell; symmetry = P4/mmm, No. 123; VASP energy = -6.009 eV/atom
1.0
8.517 0.000 0.000
0.000 8.517 0.000
0.000 0.000 8.544
Mg V Cu O
30 1 1 32
Cartesian
0.000 0.000 0.000
0.000 0.000 4.272
0.000 2.130 2.129
0.000 2.130 6.415
0.000 4.259 0.000
0.000 4.259 4.272
0.000 6.387 2.129
0.000 6.387 6.415
2.121 2.121 4.272
2.121 6.396 4.272
2.130 0.000 2.129
2.130 0.000 6.415
2.129 4.259 2.108
2.129 4.259 6.436
2.141 2.141 0.000
2.141 6.376 0.000
4.259 0.000 0.000
4.259 0.000 4.272
4.259 2.129 2.108
4.259 2.129 6.436
4.259 6.388 2.108
4.259 6.388 6.436
6.376 2.141 0.000
6.376 6.376 0.000
6.387 0.000 2.129
6.387 0.000 6.415
6.388 4.259 2.108
6.388 4.259 6.436
6.396 2.121 4.272
6.396 6.396 4.272
4.259 4.259 4.272
4.259 4.259 0.000
0.000 0.000 2.142
0.000 0.000 6.402
0.000 2.122 0.000
0.000 2.130 4.272
0.000 4.259 2.151
0.000 4.259 6.394
0.000 6.387 4.272
0.000 6.395 0.000
2.062 4.259 0.000
2.122 0.000 0.000
2.130 0.000 4.272
2.127 4.259 4.272
2.134 2.134 2.138
2.134 2.134 6.406
2.134 6.383 2.138
2.134 6.383 6.406
4.259 0.000 2.151
4.259 0.000 6.394
4.259 2.062 0.000
4.259 2.127 4.272
4.259 4.259 2.245
4.259 4.259 6.299
4.259 6.390 4.272
4.259 6.456 0.000
6.383 2.134 2.138
6.383 2.134 6.406
6.383 6.383 2.138
6.383 6.383 6.406
6.387 0.000 4.272
6.390 4.259 4.272
6.395 0.000 0.000
6.456 4.259 0.000

=====

Mg6VCuO8, relaxed, DFT PBE with a Hubbard U; magnetic moment = 2.3 μB per cell; symmetry = P4/mmm, No. 123; distance to the lowest polymorph of the same formula = 0.0000 eV/atom
1.0
4.243 0.000 0.000
0.000 4.243 0.000
0.000 0.000 8.699
Mg V Cu O
6 1 1 8
Cartesian
0.000 0.000 0.000
0.000 2.121 2.157
0.000 2.121 6.542
2.121 0.000 2.157
2.121 0.000 6.542
2.121 2.121 0.000
0.000 0.000 4.349
2.121 2.121 4.349
0.000 0.000 2.190
0.000 0.000 6.509
0.000 2.121 0.000
0.000 2.121 4.349
2.121 0.000 0.000
2.121 0.000 4.349
2.121 2.121 2.072
2.121 2.121 6.627

=====

MgV2Cu2O12, relaxed, DFT PBE with a Hubbard U; magnetic moment = 2.1 μB per cell; symmetry = C2/m, No. 12; VASP energy = -5.845 eV/atom
1.0
6.368 -2.889 0.000
6.368 2.889 0.000
-2.338 0.000 7.110
Mg V Cu O
1 2 2 12
Cartesian
0.000 0.000 0.000
5.616 0.000 1.805
4.783 0.000 5.305
3.184 1.445 0.000
3.184 -1.445 0.000
0.020 0.000 4.951
-0.141 0.000 6.276
3.905 1.495 5.508
6.494 1.495 1.601
3.904 0.000 1.020
6.368 0.000 0.000
5.199 0.000 3.555
6.495 0.000 6.090
3.905 -1.495 5.508
6.494 -1.495 1.601
10.540 0.000 0.834
10.379 0.000 2.158

=====

Mg2Cu2WO6, relaxed, DFT PBE with a Hubbard U; magnetic moment = 0.0 μB per cell; symmetry = P-3, No. 147; VASP energy = -5.960 eV/atom
1.0
5.411 0.000 0.000
-2.705 4.686 0.000
0.000 0.000 5.659
Mg Cu W O
2 2 1 6
Cartesian
0.000 3.124 1.634
2.705 1.562 4.025
0.000 3.124 4.365
2.705 1.562 1.294
0.000 0.000 0.000
-0.767 1.405 1.147
-1.105 4.647 1.147
0.833 1.366 4.512
1.872 3.319 1.147
3.811 0.038 4.512
3.472 3.281 4.512